# 1
Al7Zn2Fe2: optimized geometry, PBE-GGA.

CIF file:
```
data_Al7Zn2Fe2
_space_group_name_H-M_alt 'C m m m'
_space_group_IT_number 65
_space_group_name_Hall '-C 2 2'
_cell_length_a 5.6186
_cell_length_b 8.9038
_cell_length_c 6.9750
_cell_angle_alpha 90.00
_cell_angle_beta 90.00
_cell_angle_gamma 90.00
loop_
_atom_site_label
_atom_site_type_symbol
_atom_site_fract_x
_atom_site_fract_y
_atom_site_fract_z
Al1 Al 0.0000 0.0000 0.0000
Al2 Al 0.0000 0.5000 0.1909
Al3 Al 0.2500 0.2500 0.2880
Zn1 Zn 0.2306 0.0000 0.5000
Fe1 Fe 0.0000 0.2709 0.0000
```

Summary:
Raw total energy (eV per cell): -91.39
ρ (g/cm3): 4.1
E_form (eV/atom): -0.0022


# 2
Al4ZnFe3: optimized geometry, PBE-GGA.

CIF file:
```
data_Al4ZnFe3
_space_group_name_H-M_alt 'P 4/m m m'
_space_group_IT_number 123
_space_group_name_Hall '-P 4 2'
_cell_length_a 4.0894
_cell_length_b 4.0894
_cell_length_c 5.9706
_cell_angle_alpha 90.00
_cell_angle_beta 90.00
_cell_angle_gamma 90.00
loop_
_atom_site_label
_atom_site_type_symbol
_atom_site_fract_x
_atom_site_fract_y
_atom_site_fract_z
Al1 Al 0.0000 0.5000 0.2290
Zn1 Zn 0.0000 0.0000 0.5000
Fe1 Fe 0.0000 0.0000 0.0000
Fe2 Fe 0.5000 0.5000 0.0000
Fe3 Fe 0.5000 0.5000 0.5000
```

Summary:
Raw total energy (eV per cell): -43.60
ρ (g/cm3): 5.7
E_form (eV/atom): -0.2466


# 3
AlZnFe: optimized geometry, PBE-GGA.

CIF file:
```
data_AlZnFe
_space_group_name_H-M_alt 'C 1 2/m 1'
_space_group_IT_number 12
_space_group_name_Hall '-C 2y'
_cell_length_a 7.2022
_cell_length_b 4.1476
_cell_length_c 6.3450
_cell_angle_alpha 90.00
_cell_angle_beta 112.13
_cell_angle_gamma 90.00
loop_
_atom_site_label
_atom_site_type_symbol
_atom_site_fract_x
_atom_site_fract_y
_atom_site_fract_z
Al1 Al 0.2086 0.0000 0.1271
Zn1 Zn 0.1380 0.5000 0.4136
Fe1 Fe 0.0668 0.0000 0.7001
```

Summary:
Energy above the lowest structure with this stoichiometry (eV/atom): 0.121
Raw total energy (eV per cell): -53.35
ρ (g/cm3): 5.6
E_form (eV/atom): 0.0473


# 4
Al2ZnFe: optimized geometry, PBE-GGA.

CIF file:
```
data_Al2ZnFe
_space_group_name_H-M_alt 'P 4 m m'
_space_group_IT_number 99
_space_group_name_Hall 'P 4 -2'
_cell_length_a 2.7018
_cell_length_b 2.7018
_cell_length_c 7.8613
_cell_angle_alpha 90.00
_cell_angle_beta 90.00
_cell_angle_gamma 90.00
loop_
_atom_site_label
_atom_site_type_symbol
_atom_site_fract_x
_atom_site_fract_y
_atom_site_fract_z
Al1 Al 0.0000 0.0000 0.0000
Al2 Al 0.5000 0.5000 0.2771
Zn1 Zn 0.5000 0.5000 0.7331
Fe1 Fe 0.0000 0.0000 0.5001
```

Summary:
Raw total energy (eV per cell): -17.33
ρ (g/cm3): 5.1
E_form (eV/atom): -0.0279


# 5
Al2ZnFe: optimized geometry, PBE-GGA.

CIF file:
```
data_Al2ZnFe
_space_group_name_H-M_alt 'C m m m'
_space_group_IT_number 65
_space_group_name_Hall '-C 2 2'
_cell_length_a 5.6179
_cell_length_b 5.6255
_cell_length_c 3.3794
_cell_angle_alpha 90.00
_cell_angle_beta 90.00
_cell_angle_gamma 90.00
loop_
_atom_site_label
_atom_site_type_symbol
_atom_site_fract_x
_atom_site_fract_y
_atom_site_fract_z
Al1 Al 0.2500 0.2500 0.0000
Zn1 Zn 0.0000 0.0000 0.5000
Fe1 Fe 0.0000 0.5000 0.5000
```

Summary:
Raw total energy (eV per cell): -35.32
ρ (g/cm3): 5.4
E_form (eV/atom): -0.1097


# 6
Al2ZnFe: optimized geometry, PBE-GGA.

CIF file:
```
data_Al2ZnFe
_space_group_name_H-M_alt 'C 1 2/m 1'
_space_group_IT_number 12
_space_group_name_Hall '-C 2y'
_cell_length_a 8.6922
_cell_length_b 2.7499
_cell_length_c 4.7399
_cell_angle_alpha 90.00
_cell_angle_beta 100.41
_cell_angle_gamma 90.00
loop_
_atom_site_label
_atom_site_type_symbol
_atom_site_fract_x
_atom_site_fract_y
_atom_site_fract_z
Al1 Al 0.2407 0.0000 0.2359
Zn1 Zn 0.0000 0.0000 0.5000
Fe1 Fe 0.0000 0.5000 0.0000
```

Summary:
Raw total energy (eV per cell): -34.95
ρ (g/cm3): 5.2
E_form (eV/atom): -0.0632


What is the formula in the sixth record? Al2ZnFe


The lowest raw total energy belongs to which entry? Al7Zn2Fe2


What is the formula in the third record? AlZnFe


What is the ρ in the second record? 5.7 g/cm3